Run one
Below is ScNiTe2 after structural relaxation, with properties calculated at the PBE level. Values from VASP.

Results
Density in Mg/m³: 6.1

The structure in Quantum ESPRESSO input format:
```
&SYSTEM
  ibrav = 0, nat = 4, ntyp = 3
/
ATOMIC_SPECIES
Ni 58.69 Ni.upf
Sc 44.96 Sc.upf
Te 127.60 Te.upf
CELL_PARAMETERS angstrom
-2.7173 -2.4812 0.7543
1.2497 -0.2955 3.5299
-4.1590 5.1330 1.9021
ATOMIC_POSITIONS crystal
Ni 0.0000 0.0000 0.5065
Sc 0.5000 0.5000 0.7480
Te 0.0000 0.0000 0.8929
Te 0.5000 0.5000 0.3526
```


Run two
Below is ScNiTe2 after structural relaxation, with properties calculated at the PBE level. Values from VASP.

Results
Density in Mg/m³: 6.4

The structure in Quantum ESPRESSO input format:
```
&SYSTEM
  ibrav = 0, nat = 4, ntyp = 3
/
ATOMIC_SPECIES
Ni 58.69 Ni.upf
Sc 44.96 Sc.upf
Te 127.60 Te.upf
CELL_PARAMETERS angstrom
3.6807 0.0000 0.0000
0.0000 3.8962 0.0815
0.0000 2.1843 6.5062
ATOMIC_POSITIONS crystal
Ni 0.5000 0.2500 0.2500
Sc 0.5000 0.7500 0.7500
Te 0.0000 0.1746 0.0100
Te 0.0000 0.3254 0.4900
```


Run three
Below is ScNiTe2 after structural relaxation, with properties calculated at the PBE level. Values from VASP.

Results
Density in Mg/m³: 6.8

The structure in Quantum ESPRESSO input format:
```
&SYSTEM
  ibrav = 0, nat = 4, ntyp = 3
/
ATOMIC_SPECIES
Ni 58.69 Ni.upf
Sc 44.96 Sc.upf
Te 127.60 Te.upf
CELL_PARAMETERS angstrom
-2.2482 -2.0471 3.9665
-0.0373 -4.9657 0.5647
2.7357 -2.1260 3.6020
ATOMIC_POSITIONS crystal
Ni 0.5000 0.5000 0.5000
Sc 0.7500 0.7500 0.7500
Te 0.0000 0.0000 0.0000
Te 0.2500 0.2500 0.2500
```


Run four
Below is ScNiTe2 after structural relaxation, with properties calculated at the PBE level. Values from VASP.

Results
Density in Mg/m³: 6.7

The structure in Quantum ESPRESSO input format:
```
&SYSTEM
  ibrav = 0, nat = 4, ntyp = 3
/
ATOMIC_SPECIES
Ni 58.69 Ni.upf
Sc 44.96 Sc.upf
Te 127.60 Te.upf
CELL_PARAMETERS angstrom
5.3791 0.0980 0.0045
1.2295 5.2376 -0.0045
-2.7137 -3.3993 3.1662
ATOMIC_POSITIONS crystal
Ni 0.7500 0.2500 0.5000
Sc 0.2500 0.7500 0.5000
Te 0.9428 0.9428 0.0000
Te 0.5572 0.5572 0.0000
```


Name the most stable of them. run one.


Run one
Below is ScNiTe2 after structural relaxation, with properties calculated at the PBE level. Values from VASP.

Results
Density in Mg/m³: 6.8

The structure in Quantum ESPRESSO input format:
```
&SYSTEM
  ibrav = 0, nat = 4, ntyp = 3
/
ATOMIC_SPECIES
Ni 58.69 Ni.upf
Sc 44.96 Sc.upf
Te 127.60 Te.upf
CELL_PARAMETERS angstrom
3.5688 0.0791 0.0000
-1.0376 3.4156 0.0000
0.0000 0.0000 7.1724
ATOMIC_POSITIONS crystal
Ni 0.5000 0.5000 0.2500
Sc 0.5000 0.5000 0.7500
Te 0.0000 0.0000 0.0172
Te 0.0000 0.0000 0.4828
```


Run two
Below is ScNiTe2 after structural relaxation, with properties calculated at the PBE level. Values from VASP.

Results
Density in Mg/m³: 5.9

The structure in Quantum ESPRESSO input format:
```
&SYSTEM
  ibrav = 0, nat = 4, ntyp = 3
/
ATOMIC_SPECIES
Ni 58.69 Ni.upf
Sc 44.96 Sc.upf
Te 127.60 Te.upf
CELL_PARAMETERS angstrom
7.8293 0.0737 -0.0024
6.0264 4.9986 0.0024
-6.9193 -2.5596 2.6221
ATOMIC_POSITIONS crystal
Ni 0.4839 0.4839 0.0000
Sc 0.3161 0.8161 0.5000
Te 0.9731 0.9731 0.0000
Te 0.7269 0.2269 0.5000
```


Name the most stable of them. run two.


Run one
Below is ScNiTe2 after structural relaxation, with properties calculated at the PBE level. Values from VASP.

Results
Density in Mg/m³: 6.9

The structure in Quantum ESPRESSO input format:
```
&SYSTEM
  ibrav = 0, nat = 4, ntyp = 3
/
ATOMIC_SPECIES
Sc 44.96 Sc.upf
Ni 58.69 Ni.upf
Te 127.60 Te.upf
CELL_PARAMETERS angstrom
0.0000 3.5005 3.5005
3.5005 0.0000 3.5005
3.5005 3.5005 0.0000
ATOMIC_POSITIONS crystal
Sc 0.0000 0.0000 0.0000
Ni 0.5000 0.5000 0.5000
Te 0.2500 0.2500 0.2500
Te 0.7500 0.7500 0.7500
```


Run two
Below is ScNiTe2 after structural relaxation, with properties calculated at the PBE level. Values from VASP.

Results
Density in Mg/m³: 5.8

The structure in Quantum ESPRESSO input format:
```
&SYSTEM
  ibrav = 0, nat = 4, ntyp = 3
/
ATOMIC_SPECIES
Sc 44.96 Sc.upf
Ni 58.69 Ni.upf
Te 127.60 Te.upf
CELL_PARAMETERS angstrom
-8.0167 -2.2759 3.0482
-5.9673 -5.2302 3.9720
-5.9884 -2.2292 6.1571
ATOMIC_POSITIONS crystal
Sc 0.0000 0.0000 0.0000
Ni 0.5000 0.5000 0.5000
Te 0.8893 0.8893 0.8893
Te 0.1107 0.1107 0.1107
```


Name the most stable of them. run one.


Run one
Below is ScNi2Te2 after structural relaxation, with properties calculated at the PBE level. Values from VASP.

Results
Density in Mg/m³: 7.2

The structure in Quantum ESPRESSO input format:
```
&SYSTEM
  ibrav = 0, nat = 5, ntyp = 3
/
ATOMIC_SPECIES
Sc 44.96 Sc.upf
Ni 58.69 Ni.upf
Te 127.60 Te.upf
CELL_PARAMETERS angstrom
3.7474 0.0000 0.0000
0.0000 3.7474 0.0000
1.8737 1.8737 6.8443
ATOMIC_POSITIONS crystal
Sc 0.0000 0.0000 0.0000
Ni 0.7500 0.2500 0.5000
Ni 0.2500 0.7500 0.5000
Te 0.3782 0.3782 0.2436
Te 0.6218 0.6218 0.7564
```


Run two
Below is ScNi2Te2 after structural relaxation, with properties calculated at the PBE level. Values from VASP.

Results
Density in Mg/m³: 7.3

The structure in Quantum ESPRESSO input format:
```
&SYSTEM
  ibrav = 0, nat = 10, ntyp = 3
/
ATOMIC_SPECIES
Sc 44.96 Sc.upf
Ni 58.69 Ni.upf
Te 127.60 Te.upf
CELL_PARAMETERS angstrom
-1.7926 4.7581 -5.4427
-7.1695 -0.4498 1.9681
0.4281 2.6338 2.1615
ATOMIC_POSITIONS crystal
Sc 0.0000 0.0000 0.0000
Sc 0.5000 0.5000 0.0000
Ni 0.1287 0.6287 0.5000
Ni 0.6287 0.8713 0.5000
Ni 0.8713 0.3713 0.5000
Ni 0.3713 0.1287 0.5000
Te 0.3377 0.8377 0.0000
Te 0.8377 0.6623 0.0000
Te 0.6623 0.1623 0.0000
Te 0.1623 0.3377 0.0000
```


Name the most stable of them. run one.


Run one
Below is Sc2Ni2Te after structural relaxation, with properties calculated at the PBE level. Values from VASP.

Results
Density in Mg/m³: 5.8

The structure in Quantum ESPRESSO input format:
```
&SYSTEM
  ibrav = 0, nat = 5, ntyp = 3
/
ATOMIC_SPECIES
Sc 44.96 Sc.upf
Ni 58.69 Ni.upf
Te 127.60 Te.upf
CELL_PARAMETERS angstrom
-2.2021 2.2021 4.9789
2.2021 -2.2021 4.9789
2.2021 2.2021 -4.9789
ATOMIC_POSITIONS crystal
Sc 0.2500 0.7500 0.5000
Sc 0.7500 0.2500 0.5000
Ni 0.6145 0.6145 0.0000
Ni 0.3855 0.3855 0.0000
Te 0.0000 0.0000 0.0000
```


Run two
Below is Sc2Ni2Te after structural relaxation, with properties calculated at the PBE level. Values from VASP.

Results
Density in Mg/m³: 6.4

The structure in Quantum ESPRESSO input format:
```
&SYSTEM
  ibrav = 0, nat = 10, ntyp = 3
/
ATOMIC_SPECIES
Sc 44.96 Sc.upf
Ni 58.69 Ni.upf
Te 127.60 Te.upf
CELL_PARAMETERS angstrom
6.9490 0.0000 0.0000
0.0000 6.9490 0.0000
0.0000 0.0000 3.6203
ATOMIC_POSITIONS crystal
Sc 0.1664 0.6664 0.5000
Sc 0.6664 0.8336 0.5000
Sc 0.8336 0.3336 0.5000
Sc 0.3336 0.1664 0.5000
Ni 0.3765 0.8765 0.0000
Ni 0.8765 0.6235 0.0000
Ni 0.6235 0.1235 0.0000
Ni 0.1235 0.3765 0.0000
Te 0.0000 0.0000 0.0000
Te 0.5000 0.5000 0.0000
```


Name the most stable of them. run two.